A plane-wave DFT calculation with GGA-PBEsol was carried out for crystalline CoReTeI2 at its relaxed geometry.

Its uncorrected formation energy is 32.33 kcal/mol of atoms. As for the raw total energy: -4.224 eV per atom. For the size of the total moment, the calculation gives 0.3461 μB/atom. The density of states at the Fermi level comes out at 9.7 states/eV/cell. For the mass density, the calculation gives 6.95 g/cm³.

The structure belongs to space group P4/mmm (No. 123); the cell edges are 5.4662, 5.4662 and 5.0070 Å and the angles 90.00°, 90.00° and 90.00°. The distinct sites, in fractional coordinates, are Co at (0.0000, 0.0000, 0.0000), Re at (0.5000, 0.5000, 0.5000), Te at (0.5000, 0.5000, 0.0000) and I at (0.0000, 0.5000, 0.5000).

---

A plane-wave DFT calculation with GGA-PBEsol was carried out for crystalline CoRhI3 at its relaxed geometry.

Its uncorrected formation energy is 21.71 kcal/mol of atoms. As for the raw total energy: -3.294 eV per atom. For the size of the total moment, the calculation gives 0.6123 μB/atom. The density of states at the Fermi level comes out at 8.4 states/eV/cell. For the mass density, the calculation gives 6.87 g/cm³.

The structure belongs to space group Pm-3m (No. 221); the cell edges are 5.0805, 5.0805 and 5.0805 Å and the angles 90.00°, 90.00° and 90.00°. The distinct sites, in fractional coordinates, are Co at (0.0000, 0.0000, 0.0000), Rh at (0.5000, 0.5000, 0.5000) and I at (0.0000, 0.0000, 0.5000).

---

A plane-wave DFT calculation with GGA-PBEsol was carried out for crystalline CoSI2 at its relaxed geometry.

Its uncorrected formation energy is 12.09 kcal/mol of atoms. As for the raw total energy: -3.389 eV per atom. For the size of the total moment, the calculation gives 0.1137 μB/atom. The density of states at the Fermi level comes out at 12.0 states/eV/cell. For the mass density, the calculation gives 5.61 g/cm³.

The structure belongs to space group I-42d (No. 122); the cell edges are 6.7578, 6.7578 and 8.9332 Å and the angles 90.00°, 90.00° and 90.00°. The distinct sites, in fractional coordinates, are Co at (0.0000, 0.0000, 0.0000), S at (0.0000, 0.0000, 0.5000) and I at (0.1919, 0.7500, 0.1250).

---

A plane-wave DFT calculation with GGA-PBEsol was carried out for crystalline CoSbI3 at its relaxed geometry.

Its uncorrected formation energy is 6.34 kcal/mol of atoms. As for the raw total energy: -3.244 eV per atom. For the size of the total moment, the calculation gives 0.0014 μB/atom. The density of states at the Fermi level comes out at 3.6 states/eV/cell. For the mass density, the calculation gives 7.04 g/cm³.

The structure belongs to space group Pm-3m (No. 221); the cell edges are 5.0961, 5.0961 and 5.0961 Å and the angles 90.00°, 90.00° and 90.00°. The distinct sites, in fractional coordinates, are Co at (0.0000, 0.0000, 0.0000), Sb at (0.5000, 0.5000, 0.5000) and I at (0.0000, 0.0000, 0.5000).